Compound: Li4Nb3V3Fe2O16
Source: the Alexandria database
Functional: PBEsol
Structure: relaxed

Properties
**Formation energy without anion corrections**: -2.12 eV/atom

a b c (Å): 5.8536 5.8536 9.8320
angles (deg): 88.94 88.94 59.62
Atoms (fractional coordinates):
O (0.6786, 0.1724, 0.1023)
O (0.6668, 0.6668, 0.0922)
O (0.8363, 0.8363, 0.5893)
O (0.9648, 0.5076, 0.3386)
O (0.1645, 0.1645, 0.1115)
O (0.0041, 0.0041, 0.3093)
O (0.4784, 0.0207, 0.8386)
O (0.0049, 0.0049, 0.8174)
O (0.4770, 0.4770, 0.8450)
O (0.3257, 0.8422, 0.6051)
O (0.0207, 0.4784, 0.8386)
O (0.3315, 0.3315, 0.5862)
O (0.5134, 0.5134, 0.3311)
O (0.5076, 0.9648, 0.3386)
O (0.8422, 0.3257, 0.6051)
O (0.1724, 0.6786, 0.1023)
V (0.3557, 0.8196, 0.2140)
V (0.1759, 0.1759, 0.7149)
V (0.8196, 0.3557, 0.2140)
Nb (0.6532, 0.1614, 0.7142)
Nb (0.1614, 0.6532, 0.7142)
Nb (0.8280, 0.8280, 0.2147)
Li (0.0159, 0.0159, 0.9981)
Li (0.6567, 0.6567, 0.8985)
Li (0.0190, 0.0190, 0.4898)
Li (0.3295, 0.3295, 0.3914)
Fe (0.6623, 0.6623, 0.4910)
Fe (0.3336, 0.3336, 0.0018)

Compound: Li4FeNi
Source: the Alexandria database
Functional: PBEsol
Structure: relaxed

Properties
**Calculated formation energy**: 0.45 eV/atom

a b c (Å): 4.6735 4.6735 4.6735
angles (deg): 60.00 60.00 60.00
Atoms (fractional coordinates):
Li (0.3756, 0.3756, 0.3756)
Li (0.3756, 0.3756, 0.8731)
Li (0.8731, 0.3756, 0.3756)
Li (0.3756, 0.8731, 0.3756)
Fe (0.0000, 0.0000, 0.0000)
Ni (0.7500, 0.7500, 0.7500)

Compound: LiFe2Ni2
Source: the Alexandria database
Functional: PBEsol
Structure: relaxed

Properties
**Calculated formation energy**: 0.46 eV/atom

a b c (Å): 3.4399 3.4399 5.9651
angles (deg): 106.76 106.76 90.00
Atoms (fractional coordinates):
Li (0.0000, 0.0000, 0.0000)
Fe (0.3946, 0.3946, 0.7893)
Fe (0.6054, 0.6054, 0.2107)
Ni (0.7500, 0.2500, 0.5000)
Ni (0.2500, 0.7500, 0.5000)